Entry 1:
Sr2CdCu12Ni3 | PBE | optimized geometry

Lattice parameters (Å, degrees): 8.3485 8.3485 17.5054 90.00 90.00 120.00
Space group R-3m (No. 166, hexagonal axes)
Symmetry-distinct sites (fractional):
Sr  0.0000  0.0000  0.1033 x6
Cd  0.0000  0.0000  0.5000 x3
Cu  0.0014  0.5007  0.1343 x18
Cu  0.1025  0.2050  0.7300 x18
Ni  0.0000  0.5000  0.0000 x9

Results
Magnetic moment ... 0.0 μB per cell
Energy relative to the elements ... 452 meV per atom
Volume ... 352 Å³/f.u.


Entry 2:
Tb2CdCu12Ni3 | PBE | optimized geometry

Lattice parameters (Å, degrees): 8.5570 8.5570 12.3323 90.00 90.00 120.00
Space group R-3m (No. 166, hexagonal axes)
Symmetry-distinct sites (fractional):
Tb  0.0000  0.0000  0.2424 x6
Cd  0.0000  0.0000  0.5000 x3
Cu  0.0012  0.5006  0.2049 x18
Cu  0.0431  0.5216  0.6015 x18
Ni  0.0000  0.5000  0.0000 x9

Results
Magnetic moment ... 0.0 μB per cell
Energy relative to the elements ... 62 meV per atom
Volume ... 261 Å³/f.u.


Entry 3:
TbCdCuNi | PBE | optimized geometry

Lattice parameters (Å, degrees): 6.5959 6.5959 6.5959 90.00 90.00 90.00
Space group F-43m (No. 216)
Symmetry-distinct sites (fractional):
Tb  0.0000  0.0000  0.0000 x4
Cd  0.0000  0.0000  0.5000 x4
Cu  0.2500  0.2500  0.2500 x4
Ni  0.2500  0.2500  0.7500 x4

Results
Magnetic moment ... 0.0 μB per cell
Energy relative to the elements ... -203 meV per atom
Volume ... 72 Å³/f.u.


Entry 4:
CdCuNiTe2 | PBE | optimized geometry

Lattice parameters (Å, degrees): 5.0453 5.0453 4.8613 90.00 90.00 90.00
Space group P4/mmm (No. 123)
Symmetry-distinct sites (fractional):
Cd  0.0000  0.0000  0.0000 x1
Cu  0.5000  0.5000  0.0000 x1
Ni  0.0000  0.0000  0.5000 x1
Te  0.0000  0.5000  0.5000 x2

Results
Magnetic moment ... 0.0 μB per cell
DFT total energy ... -14.82 eV/f.u.
Volume ... 124 Å³/f.u.


Entry 5:
CdCuNiTe2 | PBE | optimized geometry

Lattice parameters (Å, degrees): 5.1390 5.1390 4.5219 90.00 90.00 90.00
Space group P4/mmm (No. 123)
Symmetry-distinct sites (fractional):
Cd  0.0000  0.0000  0.0000 x1
Cu  0.5000  0.5000  0.5000 x1
Ni  0.5000  0.5000  0.0000 x1
Te  0.0000  0.5000  0.5000 x2

Results
Magnetic moment ... 0.7 μB per cell
DFT total energy ... -14.45 eV/f.u.
Volume ... 119 Å³/f.u.


Entry 6:
Tm2CdCu12Ni3 | PBE | optimized geometry

Lattice parameters (Å, degrees): 8.5142 8.5142 12.2867 90.00 90.00 120.00
Space group R-3m (No. 166, hexagonal axes)
Symmetry-distinct sites (fractional):
Tm  0.0000  0.0000  0.2417 x6
Cd  0.0000  0.0000  0.5000 x3
Cu  0.0015  0.5007  0.7961 x18
Cu  0.0392  0.5196  0.6014 x18
Ni  0.0000  0.5000  0.0000 x9

Results
Magnetic moment ... 0.0 μB per cell
Energy relative to the elements ... 43 meV per atom
Volume ... 257 Å³/f.u.


Entry 7:
TmCdCuNi | PBE | optimized geometry

Lattice parameters (Å, degrees): 6.5200 6.5200 6.5200 90.00 90.00 90.00
Space group F-43m (No. 216)
Symmetry-distinct sites (fractional):
Tm  0.0000  0.0000  0.0000 x4
Cd  0.0000  0.0000  0.5000 x4
Cu  0.2500  0.2500  0.2500 x4
Ni  0.2500  0.2500  0.7500 x4

Results
Magnetic moment ... 0.0 μB per cell
Energy relative to the elements ... -226 meV per atom
Volume ... 69 Å³/f.u.


Entry 8:
Np2CdCuO8 | PBE | optimized geometry

Lattice parameters (Å, degrees): 6.7999 6.8499 6.9915 90.00 90.00 90.00
Space group Cmmm (No. 65)
Symmetry-distinct sites (fractional):
Np  0.0000  0.0000  0.2452 x4
Cd  0.0000  0.5000  0.5000 x2
Cu  0.0000  0.5000  0.0000 x2
O  0.0000  0.1810  0.5000 x4
O  0.0000  0.1918  0.0000 x4
O  0.2175  0.5000  0.2390 x8

Results
Magnetic moment ... 1.9 μB per cell
DFT total energy ... -95.47 eV/f.u.
Volume ... 163 Å³/f.u.


Entry 9:
NpCd2CuO8 | PBE | optimized geometry

Lattice parameters (Å, degrees): 4.8623 5.0447 7.0367 97.53 95.61 91.01
Space group P-1 (No. 2)
Symmetry-distinct sites (fractional):
Np  0.0000  0.0000  0.0000 x1
Cd  0.4754  0.4380  0.7637 x2
Cu  0.0000  0.0000  0.5000 x1
O  0.0995  0.1935  0.7393 x2
O  0.1925  0.2544  0.1978 x2
O  0.3135  0.7602  0.9868 x2
O  0.4010  0.8966  0.4842 x2

Results
Magnetic moment ... 0.8 μB per cell
DFT total energy ... -73.63 eV/f.u.
Volume ... 170 Å³/f.u.


Entry 10:
NpCdCuO6 | PBE | optimized geometry

Lattice parameters (Å, degrees): 5.2745 5.2745 9.9142 90.00 90.00 120.00
Space group P-31c (No. 163)
Symmetry-distinct sites (fractional):
Np  0.3333  0.6667  0.2500 x2
Cd  0.0000  0.0000  0.0000 x2
Cu  0.3333  0.6667  0.7500 x2
O  0.0002  0.3570  0.1389 x12

Results
Magnetic moment ... 3.9 μB per cell
DFT total energy ... -61.52 eV/f.u.
Volume ... 119 Å³/f.u.


Entry 11:
NpCdCu2O6 | PBE | optimized geometry

Lattice parameters (Å, degrees): 10.4470 9.3374 6.0407 90.00 100.40 90.00
Space group C2/c (No. 15)
Symmetry-distinct sites (fractional):
Np  0.0000  0.2260  0.2500 x4
Cd  0.0000  0.4016  0.7500 x4
Cu  0.2115  0.0907  0.7287 x8
O  0.1019  0.2317  0.5743 x8
O  0.1105  0.3995  0.1379 x8
O  0.1286  0.0884  0.1729 x8

Results
Magnetic moment ... 4.1 μB per cell
DFT total energy ... -66.17 eV/f.u.
Volume ... 145 Å³/f.u.


Entry 12:
CdCuO3 | PBE | optimized geometry

Lattice parameters (Å, degrees): 4.0773 4.0773 4.0773 90.00 90.00 90.00
Space group Pm-3m (No. 221)
Symmetry-distinct sites (fractional):
Cd  0.0000  0.0000  0.0000 x1
Cu  0.5000  0.5000  0.5000 x1
O  0.0000  0.0000  0.5000 x3

Results
Magnetic moment ... 1.6 μB per cell
DFT total energy ... -17.03 eV/f.u.
Volume ... 68 Å³/f.u.


Entry 13:
CdCu2O2 | PBE | optimized geometry

Lattice parameters (Å, degrees): 3.3521 3.3521 10.8568 90.00 90.00 90.00
Space group I4/mmm (No. 139)
Symmetry-distinct sites (fractional):
Cd  0.0000  0.0000  0.0000 x2
Cu  0.0000  0.5000  0.2500 x4
O  0.0000  0.0000  0.3784 x4

Results
Magnetic moment ... 0.0 μB per cell
DFT total energy ... -19.79 eV/f.u.
Volume ... 61 Å³/f.u.


Entry 14:
CdCuO | PBE | optimized geometry

Lattice parameters (Å, degrees): 2.8635 2.8635 9.3363 90.00 90.00 90.00
Space group I4mm (No. 107)
Symmetry-distinct sites (fractional):
Cd  0.0000  0.0000  0.0000 x2
Cu  0.0000  0.0000  0.2883 x2
O  0.0000  0.0000  0.6612 x2

Results
Magnetic moment ... 0.0 μB per cell
DFT total energy ... -10.48 eV/f.u.
Volume ... 38 Å³/f.u.


Entry 15:
CdCuO2 | PBE | optimized geometry

Lattice parameters (Å, degrees): 3.3688 3.3688 17.5455 90.00 90.00 120.00
Space group R-3m (No. 166, hexagonal axes)
Symmetry-distinct sites (fractional):
Cd  0.0000  0.0000  0.0000 x3
Cu  0.0000  0.0000  0.5000 x3
O  0.0000  0.0000  0.3998 x6

Results
Magnetic moment ... 0.0 μB per cell
DFT total energy ... -17.46 eV/f.u.
Volume ... 57 Å³/f.u.


Entry 16:
Cd3CuO3 | PBE | optimized geometry

Lattice parameters (Å, degrees): 7.1167 7.1167 4.7443 90.00 90.00 120.00
Space group P6_3/m (No. 176)
Symmetry-distinct sites (fractional):
Cd  0.0780  0.3669  0.2500 x6
Cu  0.3333  0.6667  0.7500 x2
O  0.0678  0.3549  0.7500 x6

Results
Magnetic moment ... 0.0 μB per cell
DFT total energy ... -26.20 eV/f.u.
Volume ... 104 Å³/f.u.


Entry 17:
CdCu7O12 | PBE | optimized geometry

Lattice parameters (Å, degrees): 7.3111 7.3111 7.3111 90.00 90.00 90.00
Space group Im-3 (No. 204)
Symmetry-distinct sites (fractional):
Cd  0.0000  0.0000  0.0000 x2
Cu  0.0000  0.0000  0.5000 x6
Cu  0.2500  0.2500  0.2500 x8
O  0.0000  0.3114  0.1728 x24

Results
Magnetic moment ... 0.0 μB per cell
DFT total energy ... -97.85 eV/f.u.
Volume ... 195 Å³/f.u.


Entry 18:
CdCu3O | PBE | optimized geometry

Lattice parameters (Å, degrees): 4.1015 4.1015 4.1015 90.00 90.00 90.00
Space group Pm-3m (No. 221)
Symmetry-distinct sites (fractional):
Cd  0.0000  0.0000  0.0000 x1
Cu  0.0000  0.5000  0.5000 x3
O  0.5000  0.5000  0.5000 x1

Results
Magnetic moment ... 0.0 μB per cell
DFT total energy ... -18.17 eV/f.u.
Volume ... 69 Å³/f.u.


Entry 19:
CdCu2O2 | PBE | optimized geometry

Lattice parameters (Å, degrees): 6.2185 6.2185 3.0565 90.00 90.00 90.00
Space group P4/mbm (No. 127)
Symmetry-distinct sites (fractional):
Cd  0.0000  0.0000  0.0000 x2
Cu  0.1420  0.3580  0.5000 x4
O  0.1698  0.6698  0.0000 x4

Results
Magnetic moment ... 0.0 μB per cell
DFT total energy ... -19.81 eV/f.u.
Volume ... 59 Å³/f.u.


Entry 20:
CdCu5O8 | PBE | optimized geometry

Lattice parameters (Å, degrees): 8.5234 8.5234 8.5234 90.00 90.00 90.00
Space group F-43m (No. 216)
Symmetry-distinct sites (fractional):
Cd  0.0000  0.0000  0.0000 x4
Cu  0.1242  0.1242  0.6242 x16
Cu  0.2500  0.2500  0.2500 x4
O  0.1145  0.1145  0.3855 x16
O  0.1439  0.1439  0.8561 x16

Results
Magnetic moment ... 23.3 μB per cell
DFT total energy ... -67.68 eV/f.u.
Volume ... 155 Å³/f.u.